(1)
# LaTl2Ag

An optimized crystal structure of LaTl2Ag (GGA-PBE, the Alexandria database).

a b c (Å): 4.949 4.949 17.618
angles (deg): 90.00 90.00 90.00
Fractional coordinates of all 16 atoms:
1 La 0.000 0.000 0.134
2 La 0.000 0.000 0.866
3 La 0.500 0.500 0.366
4 La 0.500 0.500 0.634
5 Tl 0.000 0.000 0.354
6 Tl 0.000 0.000 0.646
7 Tl 0.000 0.500 0.000
8 Tl 0.000 0.500 0.500
9 Tl 0.500 0.000 0.000
10 Tl 0.500 0.000 0.500
11 Tl 0.500 0.500 0.146
12 Tl 0.500 0.500 0.854
13 Ag 0.000 0.500 0.250
14 Ag 0.000 0.500 0.750
15 Ag 0.500 0.000 0.250
16 Ag 0.500 0.000 0.750

Calculated values
SG ... I4/mmm, No. 139
Energy of formation from the pure elements ... -0.302 eV per atom



(2)
# La4Np

An optimized crystal structure of La4Np (GGA-PBE, the Alexandria database).

a b c (Å): 5.717 5.717 5.717
angles (deg): 90.00 90.00 90.00
Fractional coordinates of all 5 atoms:
1 La 0.000 0.000 0.000
2 La 0.000 0.500 0.500
3 La 0.500 0.000 0.500
4 La 0.500 0.500 0.000
5 Np 0.500 0.500 0.500

Calculated values
SG ... Pm-3m, No. 221
Energy of formation from the pure elements ... 0.484 eV per atom



(3)
# YZr2HgN

An optimized crystal structure of YZr2HgN (GGA-PBE, the Alexandria database).

a b c (Å): 4.524 4.524 4.783
angles (deg): 90.00 90.00 90.00
Fractional coordinates of all 5 atoms:
1 Y 0.000 0.000 0.000
2 Zr 0.000 0.500 0.500
3 Zr 0.500 0.000 0.500
4 Hg 0.500 0.500 0.000
5 N 0.000 0.000 0.500

Calculated values
SG ... P4/mmm, No. 123
Formation energy from raw total energies ... -0.84 eV/atom



(4)
# MgCo10B3

An optimized crystal structure of MgCo10B3 (GGA-PBE, the Alexandria database).

a b c (Å): 7.412 7.412 7.412
angles (deg): 60.00 60.00 60.00
Fractional coordinates of all 28 atoms:
1 Mg 0.250 0.250 0.250
2 Mg 0.750 0.750 0.750
3 Co 0.000 0.000 0.335
4 Co 0.000 0.000 0.665
5 Co 0.000 0.335 0.000
6 Co 0.000 0.335 0.665
7 Co 0.000 0.665 0.000
8 Co 0.000 0.665 0.335
9 Co 0.155 0.615 0.615
10 Co 0.335 0.000 0.000
11 Co 0.335 0.000 0.665
12 Co 0.335 0.665 0.000
13 Co 0.385 0.385 0.385
14 Co 0.385 0.385 0.845
15 Co 0.385 0.845 0.385
16 Co 0.615 0.155 0.615
17 Co 0.615 0.615 0.155
18 Co 0.615 0.615 0.615
19 Co 0.665 0.000 0.000
20 Co 0.665 0.000 0.335
21 Co 0.665 0.335 0.000
22 Co 0.845 0.385 0.385
23 B 0.276 0.276 0.724
24 B 0.276 0.724 0.276
25 B 0.276 0.724 0.724
26 B 0.724 0.276 0.276
27 B 0.724 0.276 0.724
28 B 0.724 0.724 0.276

Calculated values
SG ... Fm-3m, No. 225
Energy of formation from the pure elements ... -0.131 eV per atom



(5)
# NbPb3Br

An optimized crystal structure of NbPb3Br (GGA-PBE, the Alexandria database).

a b c (Å): 5.628 5.628 5.628
angles (deg): 90.00 90.00 90.00
Fractional coordinates of all 5 atoms:
1 Nb 0.000 0.000 0.000
2 Pb 0.000 0.500 0.500
3 Pb 0.500 0.000 0.500
4 Pb 0.500 0.500 0.000
5 Br 0.500 0.500 0.500

Calculated values
SG ... Pm-3m, No. 221
Formation energy from raw total energies ... 1.12 eV/atom
Energy above the most stable polymorph in this dataset ... 0.9094 eV per atom



(6)
# ErCu3

An optimized crystal structure of ErCu3 (GGA-PBE, the Alexandria database).

a b c (Å): 3.615 3.615 5.256
angles (deg): 90.00 90.00 90.00
Fractional coordinates of all 4 atoms:
1 Er 0.000 0.000 0.000
2 Cu 0.000 0.500 0.556
3 Cu 0.500 0.000 0.556
4 Cu 0.500 0.500 0.240

Calculated values
SG ... P4mm, No. 99
Energy of formation from the pure elements ... -0.006 eV per atom



(7)
# Li4BiPd2

An optimized crystal structure of Li4BiPd2 (GGA-PBE, the Alexandria database).

a b c (Å): 4.918 4.918 13.128
angles (deg): 90.00 90.00 90.00
Fractional coordinates of all 14 atoms:
1 Li 0.000 0.000 0.209
2 Li 0.000 0.000 0.791
3 Li 0.000 0.500 0.000
4 Li 0.000 0.500 0.500
5 Li 0.500 0.000 0.000
6 Li 0.500 0.000 0.500
7 Li 0.500 0.500 0.291
8 Li 0.500 0.500 0.709
9 Bi 0.000 0.000 0.000
10 Bi 0.500 0.500 0.500
11 Pd 0.000 0.000 0.399
12 Pd 0.000 0.000 0.601
13 Pd 0.500 0.500 0.101
14 Pd 0.500 0.500 0.899

Calculated values
SG ... I4/mmm, No. 139
Energy of formation from the pure elements ... 0.118 eV per atom



(8)
# TaMn2CoSi

An optimized crystal structure of TaMn2CoSi (GGA-PBE, the Alexandria database).

a b c (Å): 4.648 4.648 4.451
angles (deg): 90.00 90.00 90.00
Fractional coordinates of all 5 atoms:
1 Ta 0.000 0.000 0.000
2 Mn 0.000 0.500 0.000
3 Mn 0.500 0.000 0.000
4 Co 0.000 0.000 0.500
5 Si 0.500 0.500 0.500

Calculated values
SG ... P4/mmm, No. 123
Formation energy from raw total energies ... 1.52 eV/atom



(9)
# Sr2NiHg

An optimized crystal structure of Sr2NiHg (GGA-PBE, the Alexandria database).

a b c (Å): 4.582 4.521 6.287
angles (deg): 90.00 111.30 90.00
Fractional coordinates of all 4 atoms:
1 Sr 0.000 0.000 0.000
2 Sr 0.284 0.500 0.568
3 Ni 0.580 0.500 0.161
4 Hg 0.703 0.000 0.406

Calculated values
SG ... Pm, No. 6
Energy of formation from the pure elements ... -0.228 eV per atom



(10)
# Tl2AgOsO8

An optimized crystal structure of Tl2AgOsO8 (GGA-PBE, the Alexandria database).

a b c (Å): 4.933 5.071 6.897
angles (deg): 88.28 88.43 85.35
Fractional coordinates of all 12 atoms:
1 Tl 0.033 0.028 0.245
2 Tl 0.967 0.972 0.755
3 Ag 0.500 0.500 0.000
4 Os 0.500 0.500 0.500
5 O 0.225 0.822 0.995
6 O 0.231 0.800 0.502
7 O 0.284 0.318 0.662
8 O 0.336 0.371 0.275
9 O 0.664 0.629 0.725
10 O 0.716 0.682 0.338
11 O 0.769 0.200 0.498
12 O 0.775 0.178 0.005

Calculated values
SG ... P-1, No. 2
Formation energy from raw total energies ... -0.55 eV/atom



(11)
# ZrZnCr3

An optimized crystal structure of ZrZnCr3 (GGA-PBE, the Alexandria database).

a b c (Å): 4.545 4.545 4.545
angles (deg): 90.00 90.00 90.00
Fractional coordinates of all 5 atoms:
1 Zr 0.000 0.000 0.000
2 Zn 0.500 0.500 0.500
3 Cr 0.000 0.000 0.500
4 Cr 0.000 0.500 0.000
5 Cr 0.500 0.000 0.000

Calculated values
SG ... Pm-3m, No. 221
Energy above the most stable polymorph in this dataset ... 0.6433 eV per atom
Energy of formation from the pure elements ... 2.015 eV per atom



(12)
# TbTm3Sc2

An optimized crystal structure of TbTm3Sc2 (GGA-PBE, the Alexandria database).

a b c (Å): 8.576 8.576 5.402
angles (deg): 90.00 90.00 68.30
Fractional coordinates of all 12 atoms:
1 Tb 0.223 0.777 0.750
2 Tb 0.777 0.223 0.250
3 Tm 0.127 0.390 0.250
4 Tm 0.390 0.127 0.750
5 Tm 0.406 0.594 0.250
6 Tm 0.594 0.406 0.750
7 Tm 0.610 0.873 0.250
8 Tm 0.873 0.610 0.750
9 Sc 0.013 0.202 0.750
10 Sc 0.202 0.013 0.250
11 Sc 0.798 0.987 0.750
12 Sc 0.987 0.798 0.250

Calculated values
SG ... Cmcm, No. 63
Energy above the most stable polymorph in this dataset ... 0.1608 eV per atom
Energy of formation from the pure elements ... 0.307 eV per atom



| no. | spin magnetization (μB per formula unit) |
| --- | --- |
| 1 | 0.00 |
| 2 | 6.67 |
| 3 | 0.00 |
| 4 | 11.28 |
| 5 | 3.74 |
| 6 | 0.00 |
| 7 | 0.00 |
| 8 | 5.74 |
| 9 | 0.00 |
| 10 | 0.00 |
| 11 | 0.00 |
| 12 | 0.00 |